Record 1
## Y2BeAgC (PBE)

Data for a geometry-optimized Y2BeAgC structure.

Computed properties:
crystal system: tetragonal
spin magnetization: 0.0 μB per formula unit
formation enthalpy at 0 K: -0.231 eV per atom

abc: 5.080 5.080 3.525
angles: 90.00 90.00 90.00
Space group P4/mmm (No. 123)
Inequivalent atoms, fractional coordinates:
Y 0.000 0.500 0.000
Be 0.000 0.000 0.500
Ag 0.500 0.500 0.500
C 0.000 0.000 0.000

Record 2
## La2CdCl (PBE)

Data for a geometry-optimized La2CdCl structure.

Computed properties:
formation energy (no corrections): -0.65 eV per atom
distance to the lowest polymorph of the same formula: 224 meV/atom
crystal system: cubic
spin magnetization: 0.0 μB per formula unit

abc: 7.730 7.730 7.730
angles: 90.00 90.00 90.00
Space group Fm-3m (No. 225)
Inequivalent atoms, fractional coordinates:
La 0.250 0.250 0.250
Cd 0.000 0.000 0.000
Cl 0.000 0.000 0.500

Record 3
## BaPu2US8 (PBE)

Data for a geometry-optimized BaPu2US8 structure.

Computed properties:
formation energy (no corrections): -1.29 eV per atom
crystal system: monoclinic
spin magnetization: 8.0 μB per formula unit

abc: 6.227 8.460 6.380
angles: 90.00 90.10 90.00
Space group P2/m (No. 10)
Inequivalent atoms, fractional coordinates:
Ba 0.000 0.000 0.000
Pu 0.500 0.253 0.500
U 0.000 0.500 0.000
S 0.243 0.294 0.158
S 0.270 0.000 0.595
S 0.271 0.500 0.670

Record 4
## LiHoAlAu (PBE)

Data for a geometry-optimized LiHoAlAu structure.

Computed properties:
crystal system: cubic
spin magnetization: 0.0 μB per formula unit
formation enthalpy at 0 K: -0.611 eV per atom

abc: 6.668 6.668 6.668
angles: 90.00 90.00 90.00
Space group F-43m (No. 216)
Inequivalent atoms, fractional coordinates:
Li 0.000 0.000 0.000
Ho 0.250 0.250 0.750
Al 0.250 0.250 0.250
Au 0.000 0.000 0.500